# Tb4PdRu2 | Alexandria via LeMat-Bulk | GGA-PBE | optimized geometry
data_Tb4PdRu2
_chemical_formula_sum 'Tb4 Pd1 Ru2'
_cell_length_a 4.854
_cell_length_b 4.854
_cell_length_c 8.370
_cell_angle_alpha 73.15
_cell_angle_beta 73.15
_cell_angle_gamma 60.00
_symmetry_space_group_name_H-M 'P 1'
_symmetry_Int_Tables_number 1
loop_
_symmetry_equiv_pos_as_xyz
'x,y,z'
loop_
_atom_site_label
_atom_site_fract_x
_atom_site_fract_y
_atom_site_fract_z
Tb1 0.378 0.378 0.866
Tb2 0.873 0.873 0.382
Tb3 0.622 0.622 0.134
Tb4 0.127 0.127 0.618
Ru1 0.252 0.252 0.245
Ru2 0.748 0.748 0.755
Pd1 0.000 0.000 0.000
# ρ = 9743 kg/m³
# DOS(E_F) = 4.811 states/eV per cell
# Energy relative to the lowest polymorph listed for this composition = 0.000 eV/atom
# Formation energy from the elements = -471 meV/atom